Record 1
This record from Alexandria describes Pa2GaBi after structural relaxation. The functional is GGA-PBE.

Lattice parameters (Å, degrees): 4.300 4.300 7.492 73.32 73.32 60.00
Sites, in units of the cell vectors:
Pa 0.261 0.261 0.216
Pa 0.739 0.739 0.784
Bi 0.500 0.500 0.500
Ga 0.000 0.000 0.000

Output
energy of formation	-0.089	eV per formula unit
relative energy among the computed polymorphs	0.210	eV per formula unit

---

Record 2
This record from Alexandria describes PaGaBi2 after structural relaxation. The functional is GGA-PBE.

Lattice parameters (Å, degrees): 4.125 4.125 6.413 90.00 90.00 90.00
Last column: magnetic moment on the atom in μB.
Sites, in units of the cell vectors:
Pa 0.500 0.500 0.500  0.66
Bi 0.000 0.000 0.748  0.00
Bi 0.000 0.000 0.252  0.00
Ga 0.500 0.500 0.000  0.03

Output
energy of formation	-0.486	eV per formula unit
relative energy among the computed polymorphs	0.141	eV per formula unit

---

Record 3
This record from Alexandria describes PaGa4Bi after structural relaxation. The functional is GGA-PBE.

Lattice parameters (Å, degrees): 5.608 5.608 5.608 60.00 60.00 60.00
Sites, in units of the cell vectors:
Pa 0.000 0.000 0.000
Bi 0.250 0.250 0.250
Ga 0.626 0.626 0.123
Ga 0.626 0.123 0.626
Ga 0.626 0.626 0.626
Ga 0.123 0.626 0.626

Output
energy of formation	-0.310	eV per formula unit

---

Question: energy of formation of number 2 (PaGaBi2)?
Answer: -0.486 eV per formula unit